! TeRuCl PBEsol optimized geometry; values from VASP
&SYSTEM
  ibrav = 0, nat = 3, ntyp = 3
/
ATOMIC_SPECIES
Ru 101.07 Ru.upf
Te 127.60 Te.upf
Cl 35.45 Cl.upf
CELL_PARAMETERS angstrom
-1.2324 3.2826 2.8947
-4.3093 1.4470 0.0953
-2.6509 -0.9857 3.5601
ATOMIC_POSITIONS crystal
Ru 0.5000 0.5000 0.5000
Te 0.2500 0.2500 0.2500
Cl 0.0000 0.0000 0.0000
! **D(E_F)**: 1.508 states/eV/atom
! **Space-group type**: No. 216
! **Magnetic moment**: 0.190 μB/atom
! **E_form (uncorrected)**: 0.943 eV per atom

=====

! LiLa2Hg PBEsol optimized geometry; values from VASP
&SYSTEM
  ibrav = 0, nat = 4, ntyp = 3
/
ATOMIC_SPECIES
La 138.91 La.upf
Hg 200.59 Hg.upf
Li 6.94 Li.upf
CELL_PARAMETERS angstrom
-2.7615 1.0142 -1.9727
2.4845 -0.5550 -3.7633
-2.1297 -6.6314 -0.4281
ATOMIC_POSITIONS crystal
La 0.0000 0.0000 0.7247
La 0.0000 0.0000 0.2753
Hg 0.5000 0.5000 0.5000
Li 0.5000 0.5000 0.0000
! **D(E_F)**: 0.998 states/eV/atom
! **Space-group type**: No. 47
! **Magnetic moment**: 0.000 μB/atom
! **Formation energy**: -0.220 eV per atom

=====

! Li4Mn3Sn3Te2O16 PBEsol optimized geometry; values from VASP
&SYSTEM
  ibrav = 0, nat = 28, ntyp = 5
/
ATOMIC_SPECIES
Li 6.94 Li.upf
Mn 54.94 Mn.upf
Sn 118.71 Sn.upf
Te 127.60 Te.upf
O 16.00 O.upf
CELL_PARAMETERS angstrom
6.2047 0.0000 0.0000
-3.1023 5.3210 0.0152
0.0000 -0.0726 10.1780
ATOMIC_POSITIONS crystal
Li 0.3225 0.6451 0.1031
Li 0.0049 0.0099 0.0128
Li 0.0076 0.0153 0.5036
Li 0.6677 0.3355 0.5930
Mn 0.1692 0.3383 0.7890
Mn 0.3313 0.1619 0.2874
Mn 0.8306 0.1619 0.2874
Sn 0.8289 0.6577 0.2841
Sn 0.1704 0.8374 0.7841
Sn 0.6670 0.8374 0.7841
Te 0.3266 0.6532 0.5103
Te 0.6446 0.2893 0.0169
O 0.4997 0.9995 0.6784
O 0.3338 0.6675 0.8914
O 0.0061 0.0123 0.6843
O 0.0105 0.0209 0.1946
O 0.8507 0.7014 0.8918
O 0.1673 0.3346 0.4182
O 0.6528 0.3055 0.3835
O 0.5071 0.0142 0.1413
O 0.1561 0.8581 0.3907
O 0.7020 0.8581 0.3907
O 0.0427 0.5332 0.6504
O 0.4905 0.5332 0.6504
O 0.4982 0.4607 0.1753
O 0.9625 0.4607 0.1753
O 0.3153 0.1507 0.9096
O 0.8354 0.1507 0.9096
! **D(E_F)**: 0.126 states/eV/atom
! **Space-group type**: No. 8
! **Magnetic moment**: 0.465 μB/atom
! **E_form (uncorrected)**: -1.581 eV per atom

=====

! BaNiIr4 PBEsol optimized geometry; values from VASP
&SYSTEM
  ibrav = 0, nat = 6, ntyp = 3
/
ATOMIC_SPECIES
Ba 137.33 Ba.upf
Ir 192.22 Ir.upf
Ni 58.69 Ni.upf
CELL_PARAMETERS angstrom
-5.2945 0.1058 0.4974
-2.9199 -4.0757 -1.7756
-2.4121 -3.2472 3.4537
ATOMIC_POSITIONS crystal
Ba 0.0000 0.0000 0.0000
Ir 0.3758 0.3758 0.3758
Ir 0.3758 0.3758 0.8725
Ir 0.8725 0.3758 0.3758
Ir 0.3758 0.8725 0.3758
Ni 0.7500 0.7500 0.7500
! **D(E_F)**: 2.000 states/eV/atom
! **Space-group type**: No. 216
! **Magnetic moment**: 0.404 μB/atom
! **Formation energy**: 0.594 eV per atom

=====

! BaWN2F PBEsol optimized geometry; values from VASP
&SYSTEM
  ibrav = 0, nat = 5, ntyp = 4
/
ATOMIC_SPECIES
N 14.01 N.upf
Ba 137.33 Ba.upf
W 183.84 W.upf
F 19.00 F.upf
CELL_PARAMETERS angstrom
4.5782 0.0000 0.0000
0.0000 4.6430 0.0000
0.0000 0.0000 4.6430
ATOMIC_POSITIONS crystal
N 0.0000 0.0000 0.5000
N 0.0000 0.5000 0.0000
Ba 0.0000 0.0000 0.0000
W 0.5000 0.5000 0.5000
F 0.5000 0.0000 0.0000
! **D(E_F)**: 0.554 states/eV/atom
! **Space-group type**: No. 123
! **Magnetic moment**: 0.532 μB/atom
! **Energy above the lowest structure with this stoichiometry**: 3083 meV/atom
! **E_form (uncorrected)**: 1.834 eV per atom

=====

! CuCl2 PBEsol optimized geometry; values from VASP
&SYSTEM
  ibrav = 0, nat = 6, ntyp = 2
/
ATOMIC_SPECIES
Cu 63.55 Cu.upf
Cl 35.45 Cl.upf
CELL_PARAMETERS angstrom
3.2628 0.0000 0.0000
0.0000 6.0825 0.0000
-1.6314 0.0000 6.7342
ATOMIC_POSITIONS crystal
Cu 0.3148 0.7500 0.6296
Cu 0.6852 0.2500 0.3704
Cl 0.6979 0.7500 0.3958
Cl 0.9278 0.7500 0.8556
Cl 0.0722 0.2500 0.1444
Cl 0.3021 0.2500 0.6042
! **D(E_F)**: 0.426 states/eV/atom
! **Space-group type**: No. 63
! **Magnetic moment**: 0.286 μB/atom
! **E_form (uncorrected)**: -0.464 eV per atom

=====

! CrSnP2S PBEsol optimized geometry; values from VASP
&SYSTEM
  ibrav = 0, nat = 5, ntyp = 4
/
ATOMIC_SPECIES
Cr 52.00 Cr.upf
S 32.06 S.upf
Sn 118.71 Sn.upf
P 30.97 P.upf
CELL_PARAMETERS angstrom
-3.8638 -0.3272 1.8710
1.6355 -2.7298 2.9001
1.1374 3.9017 3.0312
ATOMIC_POSITIONS crystal
Cr 0.0000 0.0000 0.0000
S 0.0000 0.0000 0.5000
Sn 0.5000 0.5000 0.5000
P 0.0000 0.5000 0.0000
P 0.5000 0.0000 0.0000
! **D(E_F)**: 0.642 states/eV/atom
! **Space-group type**: No. 123
! **Magnetic moment**: 0.198 μB/atom
! **E_form (uncorrected)**: 0.198 eV per atom

=====

! BaMnZnBi2 PBEsol optimized geometry; values from VASP
&SYSTEM
  ibrav = 0, nat = 5, ntyp = 4
/
ATOMIC_SPECIES
Zn 65.41 Zn.upf
Mn 54.94 Mn.upf
Bi 208.98 Bi.upf
Ba 137.33 Ba.upf
CELL_PARAMETERS angstrom
5.1464 0.0000 0.0000
0.0000 5.1464 0.0000
0.0000 0.0000 5.8907
ATOMIC_POSITIONS crystal
Zn 0.5000 0.5000 0.5000
Mn 0.0000 0.0000 0.0000
Bi 0.0000 0.5000 0.0000
Bi 0.5000 0.0000 0.0000
Ba 0.0000 0.0000 0.5000
! **D(E_F)**: 0.719 states/eV/atom
! **Space-group type**: No. 123
! **Magnetic moment**: 0.661 μB/atom
! **Formation energy**: 0.239 eV per atom

=====

Ordered DFT total energy results: -4.29, -3.53, -6.62, -7.34, -5.15, -3.25, -5.90, -4.17; unit eV/atom.